# Tm3NiSn

Crystalline Tm3NiSn at its relaxed geometry (PBE, Alexandria).

Results
Energy relative to the elements in eV/atom: -0.354
Relative energy among the computed polymorphs in meV/atom: 174.4

a = 5.0924 Å, b = 5.0924 Å, c = 5.0924 Å
α = 90.00°, β = 90.00°, γ = 90.00°
With the nearest neighbours (Å) after each atom.
Fractional coordinates of all 5 atoms:
Ni  0.0000  0.0000  0.0000  6 Tm 2.55
Tm  0.0000  0.5000  0.0000  2 Ni 2.55
Tm  0.0000  0.0000  0.5000  2 Ni 2.55
Tm  0.5000  0.0000  0.0000  2 Ni 2.55
Sn  0.5000  0.5000  0.5000  12 Tm 3.60

# KFeOs2

Crystalline KFeOs2 at its relaxed geometry (PBE, Alexandria).

Results
Energy relative to the elements in eV/atom: 1.720
Relative energy among the computed polymorphs in meV/atom: 959.7

a = 5.4399 Å, b = 5.4399 Å, c = 5.4399 Å
α = 139.14°, β = 139.14°, γ = 59.17°
With the nearest neighbours (Å) after each atom.
Fractional coordinates of all 4 atoms:
Fe  0.2500  0.7500  0.5000  4 K 2.69
K  0.7500  0.2500  0.5000  4 Fe 2.69
Os  0.0000  0.0000  0.0000  4 Os 2.69
Os  0.5000  0.5000  0.0000  4 Os 2.69

# Ho2MgV

Crystalline Ho2MgV at its relaxed geometry (PBE, Alexandria).

Results
Energy relative to the elements in eV/atom: 0.607
Relative energy among the computed polymorphs in meV/atom: 489.5

a = 3.2395 Å, b = 3.2395 Å, c = 11.4986 Å
α = 81.90°, β = 81.90°, γ = 60.00°
With the nearest neighbours (Å) after each atom.
Fractional coordinates of all 4 atoms:
Mg  0.5000  0.5000  0.5000  6 Mg 3.24, 6 Ho 3.40
Ho  0.0832  0.0832  0.7504  1 V 2.83
Ho  0.9168  0.9168  0.2496  1 V 2.83
V  0.0000  0.0000  0.0000  2 Ho 2.83

# InSb2Se

Crystalline InSb2Se at its relaxed geometry (PBE, Alexandria).

Results
Relative energy among the computed polymorphs in meV/atom: 20.0

a = 6.0655 Å, b = 4.2098 Å, c = 9.3330 Å
α = 90.00°, β = 94.60°, γ = 90.00°
With the nearest neighbours (Å) after each atom.
Fractional coordinates of all 8 atoms:
In  0.3247  0.5000  0.0080  2 Se 2.78, 2 Sb 3.06-3.09
In  0.8036  0.0000  0.7908  4 Se 2.84-3.11
Sb  0.8290  0.5000  0.0647  2 Sb 2.91, 2 In 3.06-3.09
Sb  0.3539  0.0000  0.3008  4 Sb 2.94-3.07
Sb  0.8564  0.0000  0.2814  4 Sb 2.91-3.07
Sb  0.3495  0.5000  0.5207  1 Se 2.65, 2 Sb 2.94
Se  0.7836  0.5000  0.5855  1 Sb 2.65, 2 In 2.84
Se  0.2948  0.0000  0.8133  3 In 2.78-2.97

# Li2HoNi9

Crystalline Li2HoNi9 at its relaxed geometry (PBE, Alexandria).

Results
Energy relative to the elements in eV/atom: -0.161

a = 4.7074 Å, b = 8.0582 Å, c = 8.0582 Å
α = 90.00°, β = 90.00°, γ = 90.00°
With the nearest neighbours (Å) after each atom.
Fractional coordinates of all 24 atoms:
Li  0.0000  0.6141  0.1141  1 Li 2.60, 12 Ni 2.60-2.78
Li  0.0000  0.3859  0.8859  1 Li 2.60, 12 Ni 2.60-2.78
Li  0.0000  0.1141  0.3859  1 Li 2.60, 12 Ni 2.60-2.78
Li  0.0000  0.8859  0.6141  1 Li 2.60, 12 Ni 2.60-2.78
Ho  0.0000  0.5000  0.5000  16 Ni 2.94-3.17, 4 Li 3.24
Ho  0.0000  0.0000  0.0000  16 Ni 2.94-3.17, 4 Li 3.24
Ni  0.5000  0.5000  0.0000  8 Ni 2.39
Ni  0.5000  0.0000  0.5000  8 Ni 2.39
Ni  0.5000  0.7095  0.5616  8 Ni 2.39-2.61
Ni  0.5000  0.2905  0.4384  8 Ni 2.39-2.61
Ni  0.5000  0.2095  0.9384  8 Ni 2.39-2.61
Ni  0.5000  0.7905  0.0616  8 Ni 2.39-2.61
Ni  0.5000  0.4384  0.7095  8 Ni 2.39-2.61
Ni  0.5000  0.5616  0.2905  8 Ni 2.39-2.61
Ni  0.5000  0.0616  0.2095  8 Ni 2.39-2.61
Ni  0.5000  0.9384  0.7905  8 Ni 2.39-2.61
Ni  0.7572  0.8193  0.3193  7 Ni 2.29-2.46
Ni  0.7572  0.1807  0.6807  7 Ni 2.29-2.46
Ni  0.7572  0.3193  0.1807  7 Ni 2.29-2.46
Ni  0.7572  0.6807  0.8193  7 Ni 2.29-2.46
Ni  0.2428  0.1807  0.6807  7 Ni 2.29-2.46
Ni  0.2428  0.8193  0.3193  7 Ni 2.29-2.46
Ni  0.2428  0.6807  0.8193  7 Ni 2.29-2.46
Ni  0.2428  0.3193  0.1807  7 Ni 2.29-2.46

# Sm4DyY8

Crystalline Sm4DyY8 at its relaxed geometry (PBE, Alexandria).

Results
Energy relative to the elements in eV/atom: 0.508

a = 11.0529 Å, b = 11.0529 Å, c = 7.8133 Å
α = 90.00°, β = 135.02°, γ = 120.00°
With the nearest neighbours (Å) after each atom.
Fractional coordinates of all 13 atoms:
Sm  0.0000  0.0000  0.0000  8 Y 3.25-3.26
Sm  0.0000  0.5000  0.0000  8 Y 3.43
Sm  0.5000  0.5000  0.0000  8 Y 3.43
Sm  0.5000  0.0000  0.0000  8 Y 3.43
Dy  0.0000  0.5000  0.5000  8 Y 3.51, 6 Sm 3.91
Y  0.5190  0.7595  0.2785  4 Sm 3.25-3.43, 1 Dy 3.51
Y  0.4810  0.2405  0.7215  4 Sm 3.25-3.43, 1 Dy 3.51
Y  0.4813  0.2407  0.2405  4 Sm 3.26-3.43, 1 Dy 3.51
Y  0.0002  0.2408  0.7595  4 Sm 3.26-3.43, 1 Dy 3.51
Y  0.5187  0.7593  0.7595  4 Sm 3.26-3.43, 1 Dy 3.51
Y  0.0002  0.7593  0.7595  4 Sm 3.26-3.43, 1 Dy 3.51
Y  0.9998  0.2407  0.2405  4 Sm 3.26-3.43, 1 Dy 3.51
Y  0.9998  0.7592  0.2405  4 Sm 3.26-3.43, 1 Dy 3.51

# BaLi2P

Crystalline BaLi2P at its relaxed geometry (PBE, Alexandria).

Results
Energy relative to the elements in eV/atom: -0.128

a = 3.8331 Å, b = 3.8331 Å, c = 6.6824 Å
α = 90.00°, β = 90.00°, γ = 94.90°
With the nearest neighbours (Å) after each atom.
Fractional coordinates of all 4 atoms:
Ba  0.5000  0.5000  0.7500  2 P 3.34, 8 Li 3.42-3.60
Li  0.0000  0.0000  0.0848  1 Li 2.21
Li  0.0000  0.0000  0.4152  1 Li 2.21
P  0.5000  0.5000  0.2500  8 Li 2.82-3.03

# Sc2BePb2

Crystalline Sc2BePb2 at its relaxed geometry (PBE, Alexandria).

Results
Energy relative to the elements in eV/atom: -0.016
Relative energy among the computed polymorphs in meV/atom: 0.0

a = 7.0445 Å, b = 7.0445 Å, c = 4.5409 Å
α = 90.00°, β = 90.00°, γ = 90.00°
With the nearest neighbours (Å) after each atom.
Fractional coordinates of all 10 atoms:
Pb  0.3495  0.8495  0.0000  2 Be 2.68, 2 Sc 2.91, 1 Pb 3.00
Pb  0.8495  0.6505  0.0000  2 Be 2.68, 2 Sc 2.91, 1 Pb 3.00
Pb  0.6505  0.1505  0.0000  2 Be 2.68, 2 Sc 2.91, 1 Pb 3.00
Pb  0.1505  0.3495  0.0000  2 Be 2.68, 2 Sc 2.91, 1 Pb 3.00
Sc  0.1660  0.6660  0.5000  6 Pb 2.91-3.18
Sc  0.6660  0.8340  0.5000  6 Pb 2.91-3.18
Sc  0.8340  0.3340  0.5000  6 Pb 2.91-3.18
Sc  0.3340  0.1660  0.5000  6 Pb 2.91-3.18
Be  0.0000  0.0000  0.0000  4 Pb 2.68
Be  0.5000  0.5000  0.0000  4 Pb 2.68

# Tb2GeBi

Crystalline Tb2GeBi at its relaxed geometry (PBE, Alexandria).

Results
Energy relative to the elements in eV/atom: -0.608
Relative energy among the computed polymorphs in meV/atom: 188.7

a = 4.1612 Å, b = 4.1612 Å, c = 8.1969 Å
α = 75.30°, β = 75.30°, γ = 60.00°
With the nearest neighbours (Å) after each atom.
Fractional coordinates of all 4 atoms:
Tb  0.0888  0.0888  0.7336  3 Ge 2.99, 3 Bi 3.15
Tb  0.2444  0.2444  0.2667  3 Ge 3.04, 3 Bi 3.21
Ge  0.4982  0.4982  0.5054  6 Tb 2.99-3.04
Bi  0.6686  0.6686  0.9943  6 Tb 3.15-3.21

# Ba2SrLa

Crystalline Ba2SrLa at its relaxed geometry (PBE, Alexandria).

Results
Energy relative to the elements in eV/atom: 0.147
Relative energy among the computed polymorphs in meV/atom: 31.3

a = 7.8553 Å, b = 7.8553 Å, c = 7.8553 Å
α = 146.10°, β = 129.07°, γ = 62.60°
With the nearest neighbours (Å) after each atom.
Fractional coordinates of all 4 atoms:
Ba  0.9914  0.9914  0.0000  2 La 3.97, 4 Ba 4.09, 2 Sr 4.16
Ba  0.5086  0.5086  0.0000  2 La 3.97, 4 Ba 4.09, 2 Sr 4.16
La  0.7500  0.2500  0.5000  4 Ba 3.97, 4 Sr 4.08
Sr  0.2500  0.7500  0.5000  4 La 4.08, 4 Ba 4.16

# SrIn2Pt

Crystalline SrIn2Pt at its relaxed geometry (PBE, Alexandria).

Results
Energy relative to the elements in eV/atom: -0.435

a = 3.5277 Å, b = 3.5222 Å, c = 7.8684 Å
α = 90.00°, β = 90.00°, γ = 90.00°
With the nearest neighbours (Å) after each atom.
Fractional coordinates of all 4 atoms:
In  0.0000  0.0000  0.0579  4 Pt 2.91, 1 In 3.02
In  0.0000  0.0000  0.4421  4 Pt 2.91, 1 In 3.02
Pt  0.5000  0.5000  0.2500  8 In 2.91
Sr  0.5000  0.5000  0.7500  8 In 3.48, 4 Sr 3.52-3.53

# MnBe2Te

Crystalline MnBe2Te at its relaxed geometry (PBE, Alexandria).

a = 5.0602 Å, b = 5.0602 Å, c = 5.0602 Å
α = 138.60°, β = 138.70°, γ = 59.91°
With the nearest neighbours (Å) after each atom.
Fractional coordinates of all 4 atoms:
Be  0.0192  0.0192  0.0000  2 Be 2.39, 4 Mn 2.53
Be  0.1999  0.6999  0.5000  2 Be 2.39, 2 Mn 2.42, 4 Te 2.59
Te  0.7670  0.2670  0.5000  8 Be 2.59-2.84, 4 Mn 2.80-2.85
Mn  0.5138  0.5138  0.0000  6 Be 2.42-2.53

# CeTm2Bi3

Crystalline CeTm2Bi3 at its relaxed geometry (PBE, Alexandria).

Results
Energy relative to the elements in eV/atom: -0.778

a = 4.4877 Å, b = 6.3600 Å, c = 7.7708 Å
α = 114.16°, β = 106.78°, γ = 90.00°
With the nearest neighbours (Å) after each atom.
Fractional coordinates of all 6 atoms:
Ce  0.0000  0.5000  0.0000  6 Bi 3.18-3.22
Tm  0.6648  0.1648  0.3295  6 Bi 3.14-3.18
Tm  0.3352  0.8352  0.6705  6 Bi 3.14-3.18
Bi  0.3280  0.3280  0.6559  4 Tm 3.14-3.18, 2 Ce 3.22
Bi  0.0000  0.0000  0.0000  4 Tm 3.15, 2 Ce 3.18
Bi  0.6720  0.6720  0.3441  4 Tm 3.14-3.18, 2 Ce 3.22

# Y2ZnCd2

Crystalline Y2ZnCd2 at its relaxed geometry (PBE, Alexandria).

Results
Energy relative to the elements in eV/atom: -0.036
Relative energy among the computed polymorphs in meV/atom: 186.4

a = 8.2602 Å, b = 8.2602 Å, c = 4.0023 Å
α = 90.00°, β = 90.00°, γ = 90.00°
With the nearest neighbours (Å) after each atom.
Fractional coordinates of all 10 atoms:
Y  0.3408  0.8408  0.0000  6 Cd 3.10-3.17, 2 Zn 3.11
Y  0.8408  0.6592  0.0000  6 Cd 3.10-3.17, 2 Zn 3.11
Y  0.6592  0.1592  0.0000  6 Cd 3.10-3.17, 2 Zn 3.11
Y  0.1592  0.3408  0.0000  6 Cd 3.10-3.17, 2 Zn 3.11
Zn  0.0000  0.0000  0.0000  4 Y 3.11
Zn  0.5000  0.5000  0.0000  4 Y 3.11
Cd  0.1384  0.6384  0.5000  6 Y 3.10-3.17, 1 Cd 3.23
Cd  0.6384  0.8616  0.5000  6 Y 3.10-3.17, 1 Cd 3.23
Cd  0.8616  0.3616  0.5000  6 Y 3.10-3.17, 1 Cd 3.23
Cd  0.3616  0.1384  0.5000  6 Y 3.10-3.17, 1 Cd 3.23

Number 1: electronic total energy -4.99 eV per atom. Number 2: electronic total energy -6.29 eV per atom. Number 3: electronic total energy -4.36 eV per atom. Number 4: electronic total energy -3.79 eV per atom. Number 5: electronic total energy -5.20 eV per atom. Number 6: electronic total energy -5.28 eV per atom. Number 7: electronic total energy -2.92 eV per atom. Number 8: electronic total energy -4.78 eV per atom. Number 9: electronic total energy -5.05 eV per atom. Number 10: electronic total energy -2.47 eV per atom. Number 11: electronic total energy -3.74 eV per atom. Number 12: electronic total energy -4.53 eV per atom. Number 13: electronic total energy -5.20 eV per atom. Number 14: electronic total energy -3.24 eV per atom.